A plane-wave DFT calculation with GGA+U was carried out for a geometry-optimized AlTlV2O8 structure.

Summary:
DFT total energy	-81.928	eV per cell
SG	No. 164

a = 5.607 Å, b = 5.607 Å, c = 5.936 Å
α = 90.00°, β = 90.00°, γ = 120.00°
Positions (direct):
O (0.155, 0.311, 0.700)
O (0.689, 0.844, 0.700)
O (0.667, 0.333, 0.944)
V (0.667, 0.333, 0.219)
O (0.311, 0.156, 0.300)
Al (0.000, 0.000, 0.500)
Tl (0.000, 0.000, 0.000)
V (0.333, 0.667, 0.781)
O (0.333, 0.667, 0.056)
O (0.156, 0.845, 0.700)
O (0.844, 0.155, 0.300)
O (0.845, 0.689, 0.300)